K3ScIn (PBE-GGA, optimized geometry); ρ = 1459 kg/m3
1.0
6.8069 0.0000 0.0000
0.0000 6.8069 0.0000
0.0000 0.0000 6.8069
K Sc In
3 1 1
Direct
0.0000 0.0000 0.5000 K
0.0000 0.5000 0.0000 K
0.5000 0.0000 0.0000 K
0.0000 0.0000 0.0000 Sc
0.5000 0.5000 0.5000 In

=====

KSc2In (PBE-GGA, optimized geometry); ρ = 3425 kg/m3
1.0
-1.6956 2.9265 5.9550
1.6956 -2.9265 5.9550
1.6956 2.9265 -5.9550
K Sc In
1 2 1
Direct
0.0000 0.0000 0.0000 K
0.2862 0.7862 0.5000 Sc
0.7138 0.2138 0.5000 Sc
0.5000 0.5000 0.0000 In

=====

K2ScIn (PBE-GGA, optimized geometry); ρ = 2366 kg/m3
1.0
3.5896 0.0000 0.0000
0.0000 4.5248 0.0000
0.0000 0.0000 10.2826
K Sc In
2 1 1
Direct
0.0000 0.0000 0.0000 K
0.5000 0.5000 0.3722 K
0.0000 0.0000 0.6572 Sc
0.5000 0.5000 0.7364 In

=====

K2ScIn (PBE-GGA, optimized geometry); ρ = 2439 kg/m3
1.0
-1.8320 3.3160 6.6673
1.8320 -3.3160 6.6673
1.8320 3.3160 -6.6673
K Sc In
2 1 1
Direct
0.0000 0.0000 0.0000 K
0.7045 0.2045 0.5000 K
0.2969 0.7969 0.5000 Sc
0.4652 0.4652 0.0000 In

=====

KScIn4 (PBE-GGA, optimized geometry); ρ = 5577 kg/m3
1.0
0.0000 4.3248 4.3248
4.3248 0.0000 4.3248
4.3248 4.3248 0.0000
K Sc In
1 1 4
Direct
0.0000 0.0000 0.0000 K
0.7500 0.7500 0.7500 Sc
0.3753 0.3753 0.3753 In
0.3753 0.3753 0.8740 In
0.3753 0.8740 0.3753 In
0.8740 0.3753 0.3753 In

=====

K4ScIn (PBE-GGA, optimized geometry); ρ = 1945 kg/m3
1.0
0.0000 5.1299 5.1299
5.1299 0.0000 5.1299
5.1299 5.1299 0.0000
K Sc In
4 1 1
Direct
0.3758 0.3758 0.3758 K
0.3758 0.3758 0.8727 K
0.3758 0.8727 0.3758 K
0.8727 0.3758 0.3758 K
0.0000 0.0000 0.0000 Sc
0.7500 0.7500 0.7500 In

=====

Summary of final energy in eV per atom
-1.563, -3.929, -2.733, -2.533, -3.081, -1.673
(order as listed above)